1.
DFT (GGA-PBEsol) results for crystalline Li2TaS at its relaxed geometry.

The calculation puts the formation energy (no corrections) at -0.041 eV/atom. For the total magnetic moment, the calculation gives 0.00 μB/f.u. Its total energy is -42.07 eV per cell.

a = 4.7278 Å, b = 5.5938 Å, c = 5.5938 Å
α = 79.71°, β = 65.00°, γ = 65.00°
Element x y z (fractional)
Li 0.1892 0.9358 0.4358
Li 0.5608 0.0642 0.5642
Li 0.3750 0.4358 0.0642
Li 0.8750 0.5642 0.9358
Ta 0.7500 0.5000 0.5000
Ta 0.0000 0.0000 0.0000
S 0.5000 0.0000 0.0000
S 0.2500 0.5000 0.5000

=====

2.
DFT (GGA-PBEsol) results for crystalline LiTbS2 at its relaxed geometry.

The calculation puts the formation energy (no corrections) at -1.879 eV/atom. For the total magnetic moment, the calculation gives 0.00 μB/f.u. Its total energy is -23.26 eV per cell.

a = 3.8803 Å, b = 3.8803 Å, c = 6.4677 Å
α = 72.54°, β = 72.54°, γ = 60.00°
Element x y z (fractional)
S 0.2488 0.2488 0.2537
S 0.7512 0.7512 0.7463
Li 0.5000 0.5000 0.5000
Tb 0.0000 0.0000 0.0000

=====

3.
DFT (GGA-PBEsol) results for crystalline Li2TeS3 at its relaxed geometry.

The calculation puts the formation energy (no corrections) at -0.714 eV/atom. For the total magnetic moment, the calculation gives 0.00 μB/f.u. Its total energy is -99.58 eV per cell.

a = 5.3119 Å, b = 7.6763 Å, c = 11.3326 Å
α = 90.00°, β = 90.00°, γ = 91.22°
Element x y z (fractional)
S 0.7282 0.8695 0.0942
S 0.2718 0.1305 0.9058
S 0.7459 0.3750 0.0754
S 0.7282 0.3695 0.4058
S 0.2541 0.1250 0.5754
S 0.2347 0.6209 0.2471
S 0.7653 0.3791 0.7529
S 0.2718 0.6305 0.5942
S 0.2541 0.6250 0.9246
S 0.7459 0.8750 0.4246
S 0.2347 0.1209 0.2529
S 0.7653 0.8791 0.7471
Te 0.7240 0.6768 0.5849
Te 0.7240 0.1768 0.9151
Te 0.2760 0.3232 0.4151
Te 0.2760 0.8232 0.0849
Li 0.7420 0.6436 0.2698
Li 0.7420 0.1436 0.2302
Li 0.2580 0.3564 0.7302
Li 0.7607 0.1308 0.5880
Li 0.2580 0.8564 0.7698
Li 0.7607 0.6308 0.9120
Li 0.2394 0.3692 0.0880
Li 0.2394 0.8692 0.4120

=====

Repeat the third record exactly.
DFT (GGA-PBEsol) results for crystalline Li2TeS3 at its relaxed geometry.

The calculation puts the formation energy (no corrections) at -0.714 eV/atom. For the total magnetic moment, the calculation gives 0.00 μB/f.u. Its total energy is -99.58 eV per cell.

a = 5.3119 Å, b = 7.6763 Å, c = 11.3326 Å
α = 90.00°, β = 90.00°, γ = 91.22°
Element x y z (fractional)
S 0.7282 0.8695 0.0942
S 0.2718 0.1305 0.9058
S 0.7459 0.3750 0.0754
S 0.7282 0.3695 0.4058
S 0.2541 0.1250 0.5754
S 0.2347 0.6209 0.2471
S 0.7653 0.3791 0.7529
S 0.2718 0.6305 0.5942
S 0.2541 0.6250 0.9246
S 0.7459 0.8750 0.4246
S 0.2347 0.1209 0.2529
S 0.7653 0.8791 0.7471
Te 0.7240 0.6768 0.5849
Te 0.7240 0.1768 0.9151
Te 0.2760 0.3232 0.4151
Te 0.2760 0.8232 0.0849
Li 0.7420 0.6436 0.2698
Li 0.7420 0.1436 0.2302
Li 0.2580 0.3564 0.7302
Li 0.7607 0.1308 0.5880
Li 0.2580 0.8564 0.7698
Li 0.7607 0.6308 0.9120
Li 0.2394 0.3692 0.0880
Li 0.2394 0.8692 0.4120